Entry 1:
NbBi2RuPt, relaxed, DFT GGA-PBE; energy of formation = 1178 meV/atom; theoretical density = 10.5 g/cm3; symmetry = P4/mmm (123)
1.0
-5.0285 -1.1862 0.0078
0.3927 -1.6352 4.4765
-1.1078 4.7079 1.8169
Ru Nb Bi Pt
1 1 2 1
Cartesian
0.0000 0.0000 0.0000
-2.8718 0.9433 3.1506
-0.5539 2.3540 0.9085
-2.5143 -0.5931 0.0039
0.1963 -0.8176 2.2382

---

Entry 2:
NbTl2BiPt, relaxed, DFT GGA-PBE; energy of formation = 830 meV/atom; theoretical density = 9.8 g/cm3; symmetry = P4/mmm (123)
1.0
-1.0162 4.1821 2.8578
-4.4052 -2.7408 2.4445
3.1482 -1.7619 3.6978
Tl Nb Bi Pt
2 1 1 1
Cartesian
1.5741 -0.8810 1.8489
-0.5081 2.0910 1.4289
-1.1366 -0.1603 4.5001
-2.2026 -1.3704 1.2222
0.0000 0.0000 0.0000

---

Entry 3:
NbVBi2Pt, relaxed, DFT GGA-PBE; energy of formation = 1078 meV/atom; theoretical density = 9.4 g/cm3; symmetry = P4/mmm (123)
1.0
-2.0406 4.3178 2.5336
-3.8039 -2.3383 0.9213
2.1719 -1.7015 4.6491
Nb Bi Pt V
1 2 1 1
Cartesian
0.0000 0.0000 0.0000
1.0860 -0.8507 2.3246
-1.0203 2.1589 1.2668
-1.8363 0.1390 4.0520
-1.9019 -1.1692 0.4606

---

Entry 4:
Nb2BiPtW, relaxed, DFT GGA-PBE; energy of formation = 1067 meV/atom; theoretical density = 10.8 g/cm3; symmetry = P4/mmm (123)
1.0
4.8660 0.0000 0.0000
0.0000 5.0199 0.0000
0.0000 0.0000 4.8660
W Nb Bi Pt
1 2 1 1
Cartesian
0.0000 0.0000 0.0000
0.0000 0.0000 2.4330
2.4330 0.0000 0.0000
2.4330 2.5099 2.4330
0.0000 2.5099 0.0000

---

Question: Among the records above, which one has the lowest theoretical density?
Answer: NbVBi2Pt

---

Question: Look up the energy of formation of the third one.
Answer: 1078 meV/atom